(1)
MgTeRhN2 | PBE | optimized geometry

Summary:
Distance to the lowest polymorph of the same formula   0.692 eV per atom
E_tot   -21.46 eV per cell
E_form (uncorrected)   1457 meV per atom
Spin magnetization   2.6 μB per cell
Fermi-level density of states   5.05 states/eV/cell

a b c (Å): 3.951 3.951 5.971
angles (deg): 90.00 90.00 90.00
Positions (direct):
Mg 0.000 0.000 0.000
Te 0.000 0.000 0.500
Rh 0.500 0.500 0.500
N 0.000 0.500 0.000
N 0.500 0.000 0.000

(2)
Na2GaFePb | PBE | optimized geometry

Summary:
E_tot   -13.55 eV per cell
Spin magnetization   3.6 μB per cell
Fermi-level density of states   15.58 states/eV/cell
DFT formation energy   857 meV per atom

a b c (Å): 5.489 5.489 5.322
angles (deg): 90.00 90.00 90.00
Positions (direct):
Na 0.000 0.500 0.000
Na 0.500 0.000 0.000
Ga 0.000 0.000 0.000
Fe 0.500 0.500 0.500
Pb 0.000 0.000 0.500